[1]
# AcLu2Al

Crystalline AcLu2Al at its relaxed geometry (GGA-PBE, Alexandria via LeMat-Bulk).

## Properties
The offset from the most stable computed form is 268.6 meV per atom. The value obtained for the density of states at the Fermi level is 4.4 states/eV/f.u. For the energy relative to the elements, the calculation gives 0.123 eV/atom.

Cell: 3.5364 3.5364 34.4167 Å, 90.00 90.00 120.00°
Closest atoms and distances in Å follow each position.
Space group R-3m (No. 166, hexagonal axes)
One atom of each set of equivalent atoms:
1 Ac 0.0000 0.0000 0.0000 [3 per cell]  6 Ac 3.54, 2 Lu 3.55
2 Lu 0.0000 0.0000 0.1031 [6 per cell]  3 Al 2.99
3 Al 0.0000 0.0000 0.5000 [3 per cell]  6 Lu 2.99


[2]
# AcLu2Al

Crystalline AcLu2Al at its relaxed geometry (GGA-PBE, Alexandria via LeMat-Bulk).

## Properties
The offset from the most stable computed form is 0.0 meV per atom. The value obtained for the density of states at the Fermi level is 2.6 states/eV/f.u. For the energy relative to the elements, the calculation gives -0.146 eV/atom.

Cell: 3.5806 3.5806 9.1499 Å, 90.00 90.00 90.00°
Closest atoms and distances in Å follow each position.
Space group P4/mmm (No. 123)
One atom of each set of equivalent atoms:
1 Ac 0.0000 0.0000 0.0000 [1 per cell]  4 Ac 3.58, 8 Lu 3.76
2 Lu 0.5000 0.5000 0.3039 [2 per cell]  4 Al 3.10
3 Al 0.0000 0.0000 0.5000 [1 per cell]  8 Lu 3.10


In order of appearance, volume = 31.06; 29.33 A^3/atom.